A plane-wave DFT calculation with GGA-PBE was carried out for RbGa2Sb2 after structural relaxation.

The raw formation energy is -280 meV/atom. The total magnetization comes out at 0.00 μB per formula unit. As for the total energy: -3.333 eV/atom.

Structure (CIF):
```
data_RbGa2Sb2
_chemical_formula_sum 'Rb2 Ga4 Sb4'
_cell_length_a 4.656
_cell_length_b 4.656
_cell_length_c 15.367
_cell_angle_alpha 90.00
_cell_angle_beta 90.00
_cell_angle_gamma 90.00
_symmetry_space_group_name_H-M 'I 4/m m m'
_symmetry_Int_Tables_number 139
_symmetry_space_group_name_Hall '-I 4 2'
loop_
_atom_site_label
_atom_site_fract_x
_atom_site_fract_y
_atom_site_fract_z
Rb1 0.000 0.000 0.000
Ga1 0.000 0.500 0.250
Sb1 0.000 0.000 0.353
```

A plane-wave DFT calculation with GGA-PBE was carried out for MgVAg after structural relaxation.

The total magnetization comes out at 0.00 μB per formula unit. As for the total energy: -4.331 eV/atom. For the formation energy, the calculation gives 0.57 eV/f.u.

Structure (CIF):
```
data_MgVAg
_chemical_formula_sum 'Mg2 V2 Ag2'
_cell_length_a 2.864
_cell_length_b 4.841
_cell_length_c 7.575
_cell_angle_alpha 90.08
_cell_angle_beta 90.19
_cell_angle_gamma 90.08
_symmetry_space_group_name_H-M 'P 1'
_symmetry_Int_Tables_number 1
_symmetry_space_group_name_Hall 'P 1'
loop_
_atom_site_label
_atom_site_fract_x
_atom_site_fract_y
_atom_site_fract_z
Mg1 0.000 0.000 0.000
Mg2 0.002 0.501 0.501
V1 0.372 0.001 0.379
V2 0.628 0.001 0.621
Ag1 0.409 0.501 0.822
Ag2 0.597 0.501 0.179
```